Run 1
## Ba2Tl3Cd6 (GGA-PBE)

Data for an optimized crystal structure of Ba2Tl3Cd6.

Cell: 8.9520 8.9520 4.8179 Å, 90.00 90.00 120.00°
Last column: nearest neighbours and their distance in Å.
Atoms (fractional coordinates):
Ba 0.3333 0.6667 0.0000  6 Tl 3.67, 9 Cd 3.79-4.09
Ba 0.6667 0.3333 0.0000  6 Tl 3.67, 9 Cd 3.79-4.09
Tl 0.0000 0.3904 0.5000  5 Cd 3.00-3.10
Tl 0.3904 0.0000 0.5000  5 Cd 3.00-3.10
Tl 0.6096 0.6096 0.5000  5 Cd 3.00-3.10
Cd 0.0000 0.1902 0.0000  6 Cd 2.95-3.23, 2 Tl 3.00
Cd 0.0000 0.7294 0.5000  3 Tl 3.03-3.10, 4 Cd 3.23
Cd 0.1902 0.0000 0.0000  6 Cd 2.95-3.23, 2 Tl 3.00
Cd 0.2706 0.2706 0.5000  3 Tl 3.03-3.10, 4 Cd 3.23
Cd 0.7294 0.0000 0.5000  3 Tl 3.03-3.10, 4 Cd 3.23
Cd 0.8098 0.8098 0.0000  6 Cd 2.95-3.23, 2 Tl 3.00

Calculated values
Space group: P-62m (189)


Run 2
## Ba2Tl3Cd6 (GGA-PBE)

Data for an optimized crystal structure of Ba2Tl3Cd6.

Cell: 8.5761 8.5761 4.8854 Å, 90.00 90.00 90.43°
Last column: nearest neighbours and their distance in Å.
Atoms (fractional coordinates):
Ba 0.2226 0.7774 0.0000  8 Cd 3.71-3.90
Ba 0.7774 0.2226 0.0000  8 Cd 3.71-3.90
Tl 0.2803 0.2803 0.0000  6 Cd 3.08-3.16
Tl 0.5000 0.5000 0.5000  4 Cd 2.99
Tl 0.7197 0.7197 0.0000  6 Cd 3.08-3.16
Cd 0.1140 0.1140 0.5000  3 Cd 2.76-2.97
Cd 0.1532 0.4584 0.5000  2 Cd 2.73-2.97, 1 Tl 2.99
Cd 0.4584 0.1532 0.5000  2 Cd 2.73-2.97, 1 Tl 2.99
Cd 0.5416 0.8468 0.5000  2 Cd 2.73-2.97, 1 Tl 2.99
Cd 0.8468 0.5416 0.5000  2 Cd 2.73-2.97, 1 Tl 2.99
Cd 0.8860 0.8860 0.5000  3 Cd 2.76-2.97

Calculated values
Space group: Cmmm (65)


Relative energies, unit eV/atom: run 1 0.000; run 2 0.079


Run 1
## Ba3TlCd (GGA-PBE)

Data for an optimized crystal structure of Ba3TlCd.

Cell: 12.1780 12.1780 6.1097 Å, 90.00 90.00 150.94°
Last column: nearest neighbours and their distance in Å.
Atoms (fractional coordinates):
Ba 0.0750 0.9250 0.7500  2 Tl 3.63, 2 Cd 3.66
Ba 0.2494 0.7506 0.7500  4 Cd 3.71-3.72, 4 Tl 3.74-3.76, 2 Ba 4.10-4.11
Ba 0.4235 0.5765 0.7500  2 Tl 3.61, 2 Cd 3.64
Ba 0.5765 0.4235 0.2500  2 Tl 3.61, 2 Cd 3.64
Ba 0.7506 0.2494 0.2500  4 Cd 3.71-3.72, 4 Tl 3.74-3.76, 2 Ba 4.10-4.11
Ba 0.9250 0.0750 0.2500  2 Tl 3.63, 2 Cd 3.66
Tl 0.1579 0.8421 0.2500  8 Ba 3.61-3.76
Tl 0.8421 0.1579 0.7500  8 Ba 3.61-3.76
Cd 0.3398 0.6602 0.2500  8 Ba 3.64-3.72
Cd 0.6602 0.3398 0.7500  8 Ba 3.64-3.72

Calculated values
Space group: Cmcm (63)


Run 2
## Ba3TlCd (GGA-PBE)

Data for an optimized crystal structure of Ba3TlCd.

Cell: 11.1539 11.1539 8.3373 Å, 98.81 98.81 65.96°
Last column: nearest neighbours and their distance in Å.
Atoms (fractional coordinates):
Ba 0.0358 0.2914 0.0152  1 Tl 3.61, 2 Cd 3.70-3.92
Ba 0.1079 0.7303 0.5241  3 Tl 3.44-3.50, 2 Cd 3.49-3.62
Ba 0.2697 0.8921 0.9759  3 Tl 3.44-3.50, 2 Cd 3.49-3.62
Ba 0.2914 0.0358 0.5152  1 Tl 3.61, 2 Cd 3.70-3.92
Ba 0.3676 0.3904 0.9340  2 Cd 3.53-3.81, 2 Tl 3.67
Ba 0.3904 0.3676 0.4340  2 Cd 3.53-3.81, 2 Tl 3.67
Ba 0.6096 0.6324 0.5661  2 Cd 3.53-3.81, 2 Tl 3.67
Ba 0.6324 0.6096 0.0660  2 Cd 3.53-3.81, 2 Tl 3.67
Ba 0.7086 0.9642 0.4848  1 Tl 3.61, 2 Cd 3.70-3.92
Ba 0.7303 0.1079 0.0241  3 Tl 3.44-3.50, 2 Cd 3.49-3.62
Ba 0.8921 0.2697 0.4759  3 Tl 3.44-3.50, 2 Cd 3.49-3.62
Ba 0.9642 0.7086 0.9848  1 Tl 3.61, 2 Cd 3.70-3.92
Tl 0.0362 0.9638 0.2500  6 Ba 3.49-3.61, 1 Tl 3.60
Tl 0.3330 0.6670 0.2500  6 Ba 3.44-3.67, 1 Tl 3.60
Tl 0.6670 0.3330 0.7500  6 Ba 3.44-3.67, 1 Tl 3.60
Tl 0.9638 0.0362 0.7500  6 Ba 3.49-3.61, 1 Tl 3.60
Cd 0.0863 0.4442 0.6501  1 Cd 3.01
Cd 0.4442 0.0863 0.1501  1 Cd 3.01
Cd 0.5558 0.9137 0.8499  1 Cd 3.01
Cd 0.9137 0.5558 0.3499  1 Cd 3.01

Calculated values
Space group: C2/c (15)


Run 3
## Ba3TlCd (GGA-PBE)

Data for an optimized crystal structure of Ba3TlCd.

Cell: 6.7091 6.7091 6.7091 Å, 90.00 90.00 90.00°
Last column: nearest neighbours and their distance in Å.
Atoms (fractional coordinates):
Ba 0.0000 0.0000 0.5000  2 Tl 3.35
Ba 0.0000 0.5000 0.0000  2 Tl 3.35
Ba 0.5000 0.0000 0.0000  2 Tl 3.35
Tl 0.0000 0.0000 0.0000  6 Ba 3.35
Cd 0.5000 0.5000 0.5000  12 Ba 4.74

Calculated values
Space group: Pm-3m (221)


Relative energies, unit eV/atom: run 1 0.000; run 2 0.106; run 3 0.374


Run 1
## BaTlCd3 (GGA-PBE)

Data for an optimized crystal structure of BaTlCd3.

Cell: 6.4567 6.4567 6.4567 Å, 90.00 90.00 90.00°
Last column: nearest neighbours and their distance in Å.
Atoms (fractional coordinates):
Ba 0.0000 0.0000 0.0000  6 Cd 3.23
Tl 0.5000 0.5000 0.5000  12 Cd 4.57
Cd 0.0000 0.0000 0.5000  2 Ba 3.23
Cd 0.0000 0.5000 0.0000  2 Ba 3.23
Cd 0.5000 0.0000 0.0000  2 Ba 3.23

Calculated values
Space group: Pm-3m (221)


Run 2
## BaTlCd3 (GGA-PBE)

Data for an optimized crystal structure of BaTlCd3.

Cell: 5.6911 5.6911 5.6911 Å, 90.00 90.00 90.00°
Last column: nearest neighbours and their distance in Å.
Atoms (fractional coordinates):
Ba 0.0000 0.0000 0.0000  12 Cd 4.02
Tl 0.5000 0.5000 0.5000  6 Cd 2.85
Cd 0.0000 0.5000 0.5000  2 Tl 2.85
Cd 0.5000 0.0000 0.5000  2 Tl 2.85
Cd 0.5000 0.5000 0.0000  2 Tl 2.85

Calculated values
Space group: Pm-3m (221)


Relative energies, unit eV/atom: run 1 0.506; run 2 0.000


Run 1
## BaTmCd (GGA-PBE)

Data for an optimized crystal structure of BaTmCd.

Cell: 3.8908 3.8908 28.3204 Å, 90.00 90.00 90.00°
Last column: nearest neighbours and their distance in Å.
Atoms (fractional coordinates):
Ba 0.0000 0.0000 0.0716  4 Cd 3.66, 5 Ba 3.89-4.06, 1 Tm 3.99
Ba 0.0000 0.0000 0.9284  4 Cd 3.66, 5 Ba 3.89-4.06, 1 Tm 3.99
Ba 0.5000 0.5000 0.4284  4 Cd 3.66, 5 Ba 3.89-4.06, 1 Tm 3.99
Ba 0.5000 0.5000 0.5716  4 Cd 3.66, 5 Ba 3.89-4.06, 1 Tm 3.99
Tm 0.0000 0.0000 0.2124  4 Cd 3.17, 4 Tm 3.48
Tm 0.0000 0.0000 0.7876  4 Cd 3.17, 4 Tm 3.48
Tm 0.5000 0.5000 0.2876  4 Cd 3.17, 4 Tm 3.48
Tm 0.5000 0.5000 0.7124  4 Cd 3.17, 4 Tm 3.48
Cd 0.0000 0.0000 0.3430  4 Tm 3.17
Cd 0.0000 0.0000 0.6570  4 Tm 3.17
Cd 0.5000 0.5000 0.1570  4 Tm 3.17
Cd 0.5000 0.5000 0.8430  4 Tm 3.17

Calculated values
Space group: I4/mmm (139)


Run 2
## BaTmCd (GGA-PBE)

Data for an optimized crystal structure of BaTmCd.

Cell: 3.9419 3.9419 13.7369 Å, 90.00 90.00 90.00°
Last column: nearest neighbours and their distance in Å.
Atoms (fractional coordinates):
Ba 0.0000 0.0000 0.0000  4 Cd 3.72, 5 Tm 3.87-4.09, 4 Ba 3.94
Ba 0.5000 0.5000 0.5000  4 Cd 3.72, 5 Tm 3.87-4.09, 4 Ba 3.94
Tm 0.0000 0.0000 0.2818  4 Cd 3.12
Tm 0.5000 0.5000 0.7818  4 Cd 3.12
Cd 0.0000 0.0000 0.6790  4 Tm 3.12
Cd 0.5000 0.5000 0.1790  4 Tm 3.12

Calculated values
Space group: I4mm (107)


Relative energies, unit eV/atom: run 1 0.000; run 2 0.054


Run 1
## BaCdW (GGA-PBE)

Data for an optimized crystal structure of BaCdW.

Cell: 3.1140 4.2045 12.2743 Å, 90.00 90.00 90.00°
Last column: nearest neighbours and their distance in Å.
Atoms (fractional coordinates):
Ba 0.0000 0.0000 0.0000  2 Ba 3.11
Ba 0.5000 0.5000 0.5000  2 Ba 3.11
Cd 0.0000 0.0000 0.7106  4 W 2.85, 2 Cd 3.11
Cd 0.5000 0.5000 0.2106  4 W 2.85, 2 Cd 3.11
W 0.0000 0.0000 0.3025  4 Cd 2.85, 2 W 3.11
W 0.5000 0.5000 0.8025  4 Cd 2.85, 2 W 3.11

Calculated values
Space group: Imm2 (44)


Run 2
## BaCdW (GGA-PBE)

Data for an optimized crystal structure of BaCdW.

Cell: 3.0424 3.0424 15.8157 Å, 90.00 90.00 90.00°
Last column: nearest neighbours and their distance in Å.
Atoms (fractional coordinates):
Ba 0.0000 0.0000 0.0000  4 Ba 3.04
Ba 0.5000 0.5000 0.5000  4 Ba 3.04
Cd 0.0000 0.0000 0.6919  4 W 3.00, 4 Cd 3.04
Cd 0.5000 0.5000 0.1919  4 W 3.00, 4 Cd 3.04
W 0.0000 0.0000 0.3242  4 Cd 3.00, 4 W 3.04
W 0.5000 0.5000 0.8242  4 Cd 3.00, 4 W 3.04

Calculated values
Space group: I4mm (107)


Run 3
## BaCdW (GGA-PBE)

Data for an optimized crystal structure of BaCdW.

Cell: 5.3886 5.3886 3.0249 Å, 90.00 90.00 120.00°
Last column: nearest neighbours and their distance in Å.
Atoms (fractional coordinates):
Ba 0.0000 0.0000 0.0000  2 Ba 3.02
Cd 0.6667 0.3333 0.5000  2 Cd 3.02, 3 W 3.11
W 0.3333 0.6667 0.5000  2 W 3.02, 3 Cd 3.11

Calculated values
Space group: P-6m2 (187)


Relative energies, unit eV/atom: run 1 0.080; run 2 0.000; run 3 0.193